Entry 1:
Below is a geometry-optimized HfIn2Fe2 structure, with properties calculated at the GGA-PBE level.

For the electronic total energy, the calculation gives -63.19 eV/cell.

Structure (CIF):
```
data_HfIn2Fe2
_chemical_formula_sum 'Hf2 In4 Fe4'
_space_group_name_H-M_alt 'P 4/m b m'
_space_group_IT_number 127
_space_group_name_Hall '-P 4 2ab'
_cell_length_a 6.5297
_cell_length_b 6.5297
_cell_length_c 4.1370
_cell_angle_alpha 90.00
_cell_angle_beta 90.00
_cell_angle_gamma 90.00
loop_
_atom_site_label
_atom_site_fract_x
_atom_site_fract_y
_atom_site_fract_z
Hf1 0.0000 0.0000 0.0000
In1 0.1736 0.3264 0.5000
Fe1 0.1235 0.6235 0.0000
```

Entry 2:
Below is a geometry-optimized Hf4InFe structure, with properties calculated at the GGA-PBE level.

For the electronic total energy, the calculation gives -206.75 eV/cell.

Structure (CIF):
```
data_Hf4InFe
_chemical_formula_sum 'Hf16 In4 Fe4'
_space_group_name_H-M_alt 'C 1 2/c 1'
_space_group_IT_number 15
_cell_length_a 8.0700
_cell_length_b 12.0655
_cell_length_c 5.4401
_cell_angle_alpha 90.00
_cell_angle_beta 109.27
_cell_angle_gamma 90.00
loop_
_space_group_symop_operation_xyz
'x,y,z'
'-x,-y,-z'
'-x,y,-z+1/2'
'x,-y,z+1/2'
'x+1/2,y+1/2,z'
'-x+1/2,-y+1/2,-z'
'-x+1/2,y+1/2,-z+1/2'
'x+1/2,-y+1/2,z+1/2'
loop_
_atom_site_label
_atom_site_fract_x
_atom_site_fract_y
_atom_site_fract_z
Hf1 0.1106 0.1732 0.0617
Hf2 0.2277 0.4181 0.3607
In1 0.0000 0.3806 0.7500
Fe1 0.0000 0.0003 0.2500
```

Entry 3:
Below is a geometry-optimized HfInFe structure, with properties calculated at the GGA-PBE level.

For the electronic total energy, the calculation gives -42.67 eV/cell.

Structure (CIF):
```
data_HfInFe
_chemical_formula_sum 'Hf2 In2 Fe2'
_space_group_name_H-M_alt 'I 4 m m'
_space_group_IT_number 107
_space_group_name_Hall 'I 4 -2'
_cell_length_a 3.2091
_cell_length_b 3.2091
_cell_length_c 10.5273
_cell_angle_alpha 90.00
_cell_angle_beta 90.00
_cell_angle_gamma 90.00
loop_
_atom_site_label
_atom_site_fract_x
_atom_site_fract_y
_atom_site_fract_z
Hf1 0.0000 0.0000 0.0000
In1 0.0000 0.0000 0.7098
Fe1 0.0000 0.0000 0.3692
```

Entry 4:
Below is a geometry-optimized HfInFe2 structure, with properties calculated at the GGA-PBE level.

For the electronic total energy, the calculation gives -29.66 eV/cell.

Structure (CIF):
```
data_HfInFe2
_chemical_formula_sum 'Hf1 In1 Fe2'
_space_group_name_H-M_alt 'P 4/m m m'
_space_group_IT_number 123
_space_group_name_Hall '-P 4 2'
_cell_length_a 4.3282
_cell_length_b 4.3282
_cell_length_c 3.2585
_cell_angle_alpha 90.00
_cell_angle_beta 90.00
_cell_angle_gamma 90.00
loop_
_atom_site_label
_atom_site_fract_x
_atom_site_fract_y
_atom_site_fract_z
Hf1 0.0000 0.0000 0.0000
In1 0.5000 0.5000 0.0000
Fe1 0.0000 0.5000 0.5000
```

Entry 5:
Below is a geometry-optimized HfIn3Fe structure, with properties calculated at the GGA-PBE level.

For the electronic total energy, the calculation gives -20.45 eV/cell.

Structure (CIF):
```
data_HfIn3Fe
_chemical_formula_sum 'Hf1 In3 Fe1'
_space_group_name_H-M_alt 'P m -3 m'
_space_group_IT_number 221
_space_group_name_Hall '-P 4 2 3'
_cell_length_a 5.5244
_cell_length_b 5.5244
_cell_length_c 5.5244
_cell_angle_alpha 90.00
_cell_angle_beta 90.00
_cell_angle_gamma 90.00
loop_
_atom_site_label
_atom_site_fract_x
_atom_site_fract_y
_atom_site_fract_z
Hf1 0.0000 0.0000 0.0000
In1 0.0000 0.0000 0.5000
Fe1 0.5000 0.5000 0.5000
```

Entry 6:
Below is a geometry-optimized Hf12InFe6 structure, with properties calculated at the GGA-PBE level.

For the electronic total energy, the calculation gives -350.87 eV/cell.

Structure (CIF):
```
data_Hf12InFe6
_chemical_formula_sum 'Hf24 In2 Fe12'
_space_group_name_H-M_alt 'I m -3'
_space_group_IT_number 204
_space_group_name_Hall '-I 2 2 3'
_cell_length_a 8.9347
_cell_length_b 8.9347
_cell_length_c 8.9347
_cell_angle_alpha 90.00
_cell_angle_beta 90.00
_cell_angle_gamma 90.00
loop_
_atom_site_label
_atom_site_fract_x
_atom_site_fract_y
_atom_site_fract_z
Hf1 0.0000 0.1949 0.2943
In1 0.0000 0.0000 0.0000
Fe1 0.0000 0.3771 0.5000
```

Entry 7:
Below is a geometry-optimized Hf4InFe structure, with properties calculated at the GGA-PBE level.

For the electronic total energy, the calculation gives -100.40 eV/cell.

Structure (CIF):
```
data_Hf4InFe
_chemical_formula_sum 'Hf8 In2 Fe2'
_space_group_name_H-M_alt 'C 1 2/m 1'
_space_group_IT_number 12
_cell_length_a 10.4628
_cell_length_b 3.2200
_cell_length_c 8.2663
_cell_angle_alpha 90.00
_cell_angle_beta 112.57
_cell_angle_gamma 90.00
loop_
_space_group_symop_operation_xyz
'x,y,z'
'-x,-y,-z'
'-x,y,-z'
'x,-y,z'
'x+1/2,y+1/2,z'
'-x+1/2,-y+1/2,-z'
'-x+1/2,y+1/2,-z'
'x+1/2,-y+1/2,z'
loop_
_atom_site_label
_atom_site_fract_x
_atom_site_fract_y
_atom_site_fract_z
Hf1 0.1256 0.0000 0.3906
Hf2 0.1714 0.5000 0.8181
In1 0.0000 0.0000 0.0000
Fe1 0.0000 0.5000 0.5000
```

Entry 8:
Below is a geometry-optimized HfIn3Fe structure, with properties calculated at the GGA-PBE level.

For the electronic total energy, the calculation gives -23.68 eV/cell.

Structure (CIF):
```
data_HfIn3Fe
_chemical_formula_sum 'Hf1 In3 Fe1'
_space_group_name_H-M_alt 'P m -3 m'
_space_group_IT_number 221
_space_group_name_Hall '-P 4 2 3'
_cell_length_a 4.8719
_cell_length_b 4.8719
_cell_length_c 4.8719
_cell_angle_alpha 90.00
_cell_angle_beta 90.00
_cell_angle_gamma 90.00
loop_
_atom_site_label
_atom_site_fract_x
_atom_site_fract_y
_atom_site_fract_z
Hf1 0.0000 0.0000 0.0000
In1 0.0000 0.5000 0.5000
Fe1 0.5000 0.5000 0.5000
```

The highest electronic total energy belongs to which entry? number 5